# Ac2SN PBE optimized geometry
data_Ac2SN
_cell_length_a 4.0336
_cell_length_b 4.0336
_cell_length_c 20.9108
_cell_angle_alpha 90.00
_cell_angle_beta 90.00
_cell_angle_gamma 120.00
_symmetry_space_group_name_H-M 'R -3 m'
_symmetry_Int_Tables_number 166
_symmetry_space_group_name_Hall '-R 3 2"'
loop_
_atom_site_label
_atom_site_fract_x
_atom_site_fract_y
_atom_site_fract_z
Ac1 0.0000 0.0000 0.2381
S1 0.0000 0.0000 0.0000
N1 0.0000 0.0000 0.5000
# energy = -6.7343 eV/atom
# spin magnetization = 0.000 μB per formula unit
# energy relative to the elements, uncorrected = -1566.9 meV/atom